1.
Entry from Alexandria: a geometry-optimized MnNiIr2 structure (PBE).

Cell and atoms, written as CIF:
```
data_MnNiIr2
_chemical_formula_sum 'Mn2 Ni2 Ir4'
_symmetry_space_group_name_H-M 'I 4/m m m'
_symmetry_Int_Tables_number 139
_symmetry_space_group_name_Hall '-I 4 2'
_cell_length_a 3.8095
_cell_length_b 3.8095
_cell_length_c 7.2131
_cell_angle_alpha 90.00
_cell_angle_beta 90.00
_cell_angle_gamma 90.00
loop_
_atom_site_label
_atom_site_fract_x
_atom_site_fract_y
_atom_site_fract_z
Mn1 0.0000 0.0000 0.0000
Ni1 0.0000 0.0000 0.5000
Ir1 0.0000 0.5000 0.2500
```

Results
Energy of formation from the pure elements   -0.44 eV/f.u.
Crystal system   tetragonal
Theoretical density   15.802 g/cm³
Volume   13.1 Å³ per atom
Magnetization   4.118 Bohr magnetons per cell

***

2.
Entry from Alexandria: a geometry-optimized SrP2W structure (PBE).

Cell and atoms, written as CIF:
```
data_SrP2W
_chemical_formula_sum 'Sr4 P8 W4'
_symmetry_space_group_name_H-M 'I -4 2 d'
_symmetry_Int_Tables_number 122
_symmetry_space_group_name_Hall 'I -4 2bw'
_cell_length_a 6.0771
_cell_length_b 6.0771
_cell_length_c 12.1187
_cell_angle_alpha 90.00
_cell_angle_beta 90.00
_cell_angle_gamma 90.00
loop_
_atom_site_label
_atom_site_fract_x
_atom_site_fract_y
_atom_site_fract_z
Sr1 0.0000 0.0000 0.0000
P1 0.1407 0.2500 0.6250
W1 0.0000 0.0000 0.5000
```

Results
Energy of formation from the pure elements   -0.97 eV/f.u.
Crystal system   tetragonal
Theoretical density   4.948 g/cm³
E above lowest polymorph   234 meV/atom
Volume   28.0 Å³ per atom
Magnetization   0.000 Bohr magnetons per cell

***

3.
Entry from Alexandria: a geometry-optimized HgPdO structure (PBE).

Cell and atoms, written as CIF:
```
data_HgPdO
_chemical_formula_sum 'Hg3 Pd3 O3'
_symmetry_space_group_name_H-M 'P 32'
_symmetry_Int_Tables_number 145
_cell_length_a 5.3093
_cell_length_b 5.3093
_cell_length_c 7.0683
_cell_angle_alpha 90.00
_cell_angle_beta 90.00
_cell_angle_gamma 120.00
loop_
_symmetry_equiv_pos_as_xyz
'x,y,z'
'-y,x-y,z+2/3'
'-x+y,-x,z+1/3'
loop_
_atom_site_label
_atom_site_fract_x
_atom_site_fract_y
_atom_site_fract_z
Hg1 0.1674 0.4037 0.0000
Pd1 0.0021 0.8169 0.9541
O1 0.3563 0.0103 0.7897
```

Results
Crystal system   trigonal
Theoretical density   9.325 g/cm³
E above lowest polymorph   0 meV/atom
Volume   19.2 Å³ per atom
Magnetization   0.003 Bohr magnetons per cell

***

4.
Entry from Alexandria: a geometry-optimized Mn4BeP structure (PBE).

Cell and atoms, written as CIF:
```
data_Mn4BeP
_chemical_formula_sum 'Mn16 Be4 P4'
_symmetry_space_group_name_H-M 'F -4 3 m'
_symmetry_Int_Tables_number 216
_symmetry_space_group_name_Hall 'F -4 2 3'
_cell_length_a 6.4893
_cell_length_b 6.4893
_cell_length_c 6.4893
_cell_angle_alpha 90.00
_cell_angle_beta 90.00
_cell_angle_gamma 90.00
loop_
_atom_site_label
_atom_site_fract_x
_atom_site_fract_y
_atom_site_fract_z
Mn1 0.1251 0.1251 0.1251
Be1 0.0000 0.0000 0.5000
P1 0.2500 0.2500 0.7500
```

Results
Energy of formation from the pure elements   2.44 eV/f.u.
Crystal system   cubic
Theoretical density   6.313 g/cm³
Volume   11.4 Å³ per atom
Magnetization   11.704 Bohr magnetons per cell

***

5.
Entry from Alexandria: a geometry-optimized BrO structure (PBE).

Cell and atoms, written as CIF:
```
data_BrO
_chemical_formula_sum 'Br8 O8'
_symmetry_space_group_name_H-M 'I -4 3 m'
_symmetry_Int_Tables_number 217
_symmetry_space_group_name_Hall 'I -4 2 3'
_cell_length_a 7.6349
_cell_length_b 7.6349
_cell_length_c 7.6349
_cell_angle_alpha 90.00
_cell_angle_beta 90.00
_cell_angle_gamma 90.00
loop_
_atom_site_label
_atom_site_fract_x
_atom_site_fract_y
_atom_site_fract_z
Br1 0.2141 0.2141 0.7859
O1 0.1532 0.1532 0.1532
```

Results
Crystal system   cubic
Theoretical density   2.863 g/cm³
E above lowest polymorph   305 meV/atom
Volume   27.8 Å³ per atom
Magnetization   8.113 Bohr magnetons per cell

***

6.
Entry from Alexandria: a geometry-optimized Rb3SnSe3 structure (PBE).

Cell and atoms, written as CIF:
```
data_Rb3SnSe3
_chemical_formula_sum 'Rb12 Sn4 Se12'
_symmetry_space_group_name_H-M 'C 1 2/m 1'
_symmetry_Int_Tables_number 12
_cell_length_a 9.3927
_cell_length_b 14.4852
_cell_length_c 8.4993
_cell_angle_alpha 90.00
_cell_angle_beta 99.62
_cell_angle_gamma 90.00
loop_
_symmetry_equiv_pos_as_xyz
'x,y,z'
'-x,-y,-z'
'-x,y,-z'
'x,-y,z'
'x+1/2,y+1/2,z'
'-x+1/2,-y+1/2,-z'
'-x+1/2,y+1/2,-z'
'x+1/2,-y+1/2,z'
loop_
_atom_site_label
_atom_site_fract_x
_atom_site_fract_y
_atom_site_fract_z
Rb1 0.0000 0.1775 0.0000
Rb2 0.0000 0.2370 0.5000
Rb3 0.1188 0.5000 0.8624
Sn1 0.1857 0.0000 0.6376
Se1 0.0788 0.0000 0.2837
Se2 0.1884 0.3522 0.2210
```

Results
Crystal system   monoclinic
Theoretical density   3.565 g/cm³
E above lowest polymorph   47 meV/atom
Volume   40.7 Å³ per atom
Magnetization   0.001 Bohr magnetons per cell